# NaSnBr4 PBE-GGA optimized geometry
data_NaSnBr4
_chemical_formula_sum 'Na2 Sn2 Br8'
_cell_length_a 5.6785
_cell_length_b 5.6785
_cell_length_c 13.4085
_cell_angle_alpha 90.00
_cell_angle_beta 90.00
_cell_angle_gamma 90.00
_space_group_name_H-M_alt 'I -4 m 2'
_space_group_IT_number 119
_space_group_name_Hall 'I -4 -2'
loop_
_atom_site_label
_atom_site_type_symbol
_atom_site_fract_x
_atom_site_fract_y
_atom_site_fract_z
Na1 Na 0.0000 0.0000 0.0000
Sn1 Sn 0.0000 0.5000 0.2500
Br1 Br 0.0000 0.0000 0.2378
Br2 Br 0.0000 0.5000 0.0466
# * energy above the most stable polymorph in this dataset: 0.0 kJ/mol of formula units
# * total DFT energy (no corrections): -34.9 eV per cell
# * ΔE_f (raw): -0.910 eV/atom